VASP calculation (PBE) on a relaxed structure of Tm2Ga3Tc.

Results
SG = Immm
Energy relative to the lowest polymorph listed for this composition = 271 meV/atom
Crystal system = orthorhombic
Volume = 20.454 Å³/atom
Formation enthalpy at 0 K = -0.264 eV/atom

Cell lengths 4.650, 5.370, 6.064 Å; angles 116.28, 112.54, 90.00 degrees
Atoms (fractional coordinates):
Tm 0.700 0.200 0.400
Tm 0.300 0.800 0.600
Ga 0.374 0.374 0.747
Ga 0.000 0.000 0.000
Ga 0.626 0.626 0.253
Tc 0.000 0.500 0.000